! Bi3SeCl (PBE, relaxed); values from VASP
&SYSTEM
  ibrav = 0, nat = 5, ntyp = 3
/
ATOMIC_SPECIES
Bi 208.98 Bi.upf
Se 78.96 Se.upf
Cl 35.45 Cl.upf
CELL_PARAMETERS angstrom
5.5995 0.0000 0.0000
0.0000 5.5995 0.0000
0.0000 0.0000 5.5995
ATOMIC_POSITIONS angstrom
Bi 0.0000 2.7998 0.0000
Se 0.0000 0.0000 0.0000
Bi 2.7998 0.0000 0.0000
Bi 0.0000 0.0000 2.7998
Cl 2.7998 2.7998 2.7998
! Formation energy without anion corrections in eV/atom: 0.409
! Crystal system: cubic
! V in Å³ per cell: 176
! Final energy in eV/cell: -14.927
! DOS(E_F) in states/eV per cell: 2.0
! Space group: Pm-3m (221)
! Theoretical density in g/cm3: 7.0
! Magnetic moment in μB per cell: 0.00